(A)
Density functional theory data (SCAN) for Ag2BiAu2 at its PBEsol-relaxed geometry.

```
data_Ag2BiAu2
_symmetry_space_group_name_H-M 'I 4/m m m'
_symmetry_Int_Tables_number 139
_symmetry_space_group_name_Hall '-I 4 2'
_cell_length_a 3.868
_cell_length_b 3.868
_cell_length_c 13.628
_cell_angle_alpha 90.00
_cell_angle_beta 90.00
_cell_angle_gamma 90.00
loop_
_atom_site_label
_atom_site_fract_x
_atom_site_fract_y
_atom_site_fract_z
Ag1 0.000 0.000 0.101
Bi1 0.000 0.000 0.500
Au1 0.000 0.500 0.250
```



(B)
Density functional theory data (SCAN) for Ag2BiAu2 at its PBEsol-relaxed geometry.

```
data_Ag2BiAu2
_symmetry_space_group_name_H-M 'P 4/m b m'
_symmetry_Int_Tables_number 127
_symmetry_space_group_name_Hall '-P 4 2ab'
_cell_length_a 7.778
_cell_length_b 7.778
_cell_length_c 3.208
_cell_angle_alpha 90.00
_cell_angle_beta 90.00
_cell_angle_gamma 90.00
loop_
_atom_site_label
_atom_site_fract_x
_atom_site_fract_y
_atom_site_fract_z
Ag1 0.166 0.334 0.000
Bi1 0.000 0.000 0.500
Au1 0.129 0.629 0.500
```



Here is how they stack up, most stable first: (B), (A).



(A)
Density functional theory data (SCAN) for AgAuBr2 at its PBEsol-relaxed geometry.

```
data_AgAuBr2
_symmetry_space_group_name_H-M 'C 1 2/m 1'
_symmetry_Int_Tables_number 12
_symmetry_space_group_name_Hall '-C 2y'
_cell_length_a 12.808
_cell_length_b 3.831
_cell_length_c 4.423
_cell_angle_alpha 90.00
_cell_angle_beta 93.38
_cell_angle_gamma 90.00
loop_
_atom_site_label
_atom_site_fract_x
_atom_site_fract_y
_atom_site_fract_z
Ag1 0.000 0.000 0.000
Au1 0.000 0.500 0.500
Br1 0.151 0.500 0.199
```



(B)
Density functional theory data (SCAN) for AgAuBr2 at its PBEsol-relaxed geometry.

```
data_AgAuBr2
_symmetry_space_group_name_H-M 'R -3 m'
_symmetry_Int_Tables_number 166
_symmetry_space_group_name_Hall '-R 3 2"'
_cell_length_a 4.1237
_cell_length_b 4.1237
_cell_length_c 23.1467
_cell_angle_alpha 90.00
_cell_angle_beta 90.00
_cell_angle_gamma 120.00
loop_
_atom_site_label
_atom_site_fract_x
_atom_site_fract_y
_atom_site_fract_z
Ag1 0.0000 0.0000 0.0000
Au1 0.0000 0.0000 0.5000
Br1 0.0000 0.0000 0.3967
```



(C)
Density functional theory data (SCAN) for AgAuBr2 at its PBEsol-relaxed geometry.

```
data_AgAuBr2
_symmetry_space_group_name_H-M 'P 4/m m m'
_symmetry_Int_Tables_number 123
_symmetry_space_group_name_Hall '-P 4 2'
_cell_length_a 3.476
_cell_length_b 3.476
_cell_length_c 6.965
_cell_angle_alpha 90.00
_cell_angle_beta 90.00
_cell_angle_gamma 90.00
loop_
_atom_site_label
_atom_site_fract_x
_atom_site_fract_y
_atom_site_fract_z
Ag1 0.000 0.000 0.000
Au1 0.000 0.000 0.500
Br1 0.500 0.500 0.248
```



Here is how they stack up, most stable first: (A), (B), (C).



(A)
Density functional theory data (SCAN) for Ca2AgAu at its PBEsol-relaxed geometry.

```
data_Ca2AgAu
_symmetry_space_group_name_H-M 'I -4 m 2'
_symmetry_Int_Tables_number 119
_symmetry_space_group_name_Hall 'I -4 -2'
_cell_length_a 4.347
_cell_length_b 4.347
_cell_length_c 9.603
_cell_angle_alpha 90.00
_cell_angle_beta 90.00
_cell_angle_gamma 90.00
loop_
_atom_site_label
_atom_site_fract_x
_atom_site_fract_y
_atom_site_fract_z
Ca1 0.000 0.000 0.000
Ca2 0.000 0.500 0.250
Ag1 0.000 0.000 0.500
Au1 0.000 0.500 0.750
```



(B)
Density functional theory data (SCAN) for Ca2AgAu at its PBEsol-relaxed geometry.

```
data_Ca2AgAu
_symmetry_space_group_name_H-M 'F m -3 m'
_symmetry_Int_Tables_number 225
_symmetry_space_group_name_Hall '-F 4 2 3'
_cell_length_a 7.185
_cell_length_b 7.185
_cell_length_c 7.185
_cell_angle_alpha 90.00
_cell_angle_beta 90.00
_cell_angle_gamma 90.00
loop_
_atom_site_label
_atom_site_fract_x
_atom_site_fract_y
_atom_site_fract_z
Ca1 0.250 0.250 0.250
Ag1 0.000 0.000 0.000
Au1 0.000 0.000 0.500
```



Here is how they stack up, most stable first: (B), (A).



(A)
Density functional theory data (SCAN) for AgAuCl2 at its PBEsol-relaxed geometry.

```
data_AgAuCl2
_symmetry_space_group_name_H-M 'R -3 m'
_symmetry_Int_Tables_number 166
_symmetry_space_group_name_Hall '-R 3 2"'
_cell_length_a 3.8765
_cell_length_b 3.8765
_cell_length_c 22.3503
_cell_angle_alpha 90.00
_cell_angle_beta 90.00
_cell_angle_gamma 120.00
loop_
_atom_site_label
_atom_site_fract_x
_atom_site_fract_y
_atom_site_fract_z
Ag1 0.0000 0.0000 0.0000
Au1 0.0000 0.0000 0.5000
Cl1 0.0000 0.0000 0.3987
```



(B)
Density functional theory data (SCAN) for AgAuCl2 at its PBEsol-relaxed geometry.

```
data_AgAuCl2
_symmetry_space_group_name_H-M 'C 1 2/m 1'
_symmetry_Int_Tables_number 12
_symmetry_space_group_name_Hall '-C 2y'
_cell_length_a 11.475
_cell_length_b 3.698
_cell_length_c 4.539
_cell_angle_alpha 90.00
_cell_angle_beta 93.86
_cell_angle_gamma 90.00
loop_
_atom_site_label
_atom_site_fract_x
_atom_site_fract_y
_atom_site_fract_z
Ag1 0.000 0.000 0.000
Au1 0.000 0.500 0.500
Cl1 0.155 0.500 0.212
```



Here is how they stack up, most stable first: (B), (A).



(A)
Density functional theory data (SCAN) for AgAuCl2 at its PBEsol-relaxed geometry.

```
data_AgAuCl2
_symmetry_space_group_name_H-M 'C m m 2'
_symmetry_Int_Tables_number 35
_symmetry_space_group_name_Hall 'C 2 -2'
_cell_length_a 3.670
_cell_length_b 5.903
_cell_length_c 7.872
_cell_angle_alpha 90.00
_cell_angle_beta 90.00
_cell_angle_gamma 90.00
loop_
_atom_site_label
_atom_site_fract_x
_atom_site_fract_y
_atom_site_fract_z
Ag1 0.000 0.000 0.000
Au1 0.000 0.500 0.236
Cl1 0.000 0.000 0.436
Cl2 0.000 0.500 0.802
```



(B)
Density functional theory data (SCAN) for AgAuCl2 at its PBEsol-relaxed geometry.

```
data_AgAuCl2
_symmetry_space_group_name_H-M 'P 1 2/m 1'
_symmetry_Int_Tables_number 10
_symmetry_space_group_name_Hall '-P 2y'
_cell_length_a 3.886
_cell_length_b 3.741
_cell_length_c 5.505
_cell_angle_alpha 90.00
_cell_angle_beta 92.58
_cell_angle_gamma 90.00
loop_
_atom_site_label
_atom_site_fract_x
_atom_site_fract_y
_atom_site_fract_z
Ag1 0.000 0.000 0.000
Au1 0.500 0.500 0.500
Cl1 0.000 0.000 0.500
Cl2 0.500 0.500 0.000
```



Here is how they stack up, most stable first: (A), (B).



(A)
Density functional theory data (SCAN) for CrAg2Au at its PBEsol-relaxed geometry.

```
data_CrAg2Au
_symmetry_space_group_name_H-M 'C 1 2/m 1'
_symmetry_Int_Tables_number 12
_symmetry_space_group_name_Hall '-C 2y'
_cell_length_a 5.526
_cell_length_b 9.578
_cell_length_c 2.849
_cell_angle_alpha 90.00
_cell_angle_beta 118.56
_cell_angle_gamma 90.00
loop_
_atom_site_label
_atom_site_fract_x
_atom_site_fract_y
_atom_site_fract_z
Cr1 0.000 0.000 0.000
Ag1 0.250 0.250 0.500
Au1 0.000 0.500 0.000
```



(B)
Density functional theory data (SCAN) for CrAg2Au at its PBEsol-relaxed geometry.

```
data_CrAg2Au
_symmetry_space_group_name_H-M 'C m m m'
_symmetry_Int_Tables_number 65
_symmetry_space_group_name_Hall '-C 2 2'
_cell_length_a 5.645
_cell_length_b 7.829
_cell_length_c 2.987
_cell_angle_alpha 90.00
_cell_angle_beta 90.00
_cell_angle_gamma 90.00
loop_
_atom_site_label
_atom_site_fract_x
_atom_site_fract_y
_atom_site_fract_z
Cr1 0.000 0.000 0.000
Ag1 0.250 0.250 0.500
Au1 0.000 0.500 0.000
```



Here is how they stack up, most stable first: (A), (B).



(A)
Density functional theory data (SCAN) for CuAgAu at its PBEsol-relaxed geometry.

```
data_CuAgAu
_symmetry_space_group_name_H-M 'P 3 m 1'
_symmetry_Int_Tables_number 156
_symmetry_space_group_name_Hall 'P 3 -2"'
_cell_length_a 4.3686
_cell_length_b 4.3686
_cell_length_c 2.7518
_cell_angle_alpha 90.00
_cell_angle_beta 90.00
_cell_angle_gamma 120.00
loop_
_atom_site_label
_atom_site_fract_x
_atom_site_fract_y
_atom_site_fract_z
Cu1 0.0000 0.0000 0.0000
Ag1 0.6667 0.3333 0.3148
Au1 0.3333 0.6667 0.7436
```



(B)
Density functional theory data (SCAN) for CuAgAu at its PBEsol-relaxed geometry.

```
data_CuAgAu
_symmetry_space_group_name_H-M 'I m m 2'
_symmetry_Int_Tables_number 44
_symmetry_space_group_name_Hall 'I 2 -2'
_cell_length_a 2.797
_cell_length_b 3.739
_cell_length_c 8.638
_cell_angle_alpha 90.00
_cell_angle_beta 90.00
_cell_angle_gamma 90.00
loop_
_atom_site_label
_atom_site_fract_x
_atom_site_fract_y
_atom_site_fract_z
Cu1 0.000 0.000 0.000
Ag1 0.000 0.000 0.661
Au1 0.000 0.000 0.342
```



Here is how they stack up, most stable first: (B), (A).



(A)
Density functional theory data (SCAN) for CuAgAu at its PBEsol-relaxed geometry.

```
data_CuAgAu
_symmetry_space_group_name_H-M 'I 4 m m'
_symmetry_Int_Tables_number 107
_symmetry_space_group_name_Hall 'I 4 -2'
_cell_length_a 2.804
_cell_length_b 2.804
_cell_length_c 11.444
_cell_angle_alpha 90.00
_cell_angle_beta 90.00
_cell_angle_gamma 90.00
loop_
_atom_site_label
_atom_site_fract_x
_atom_site_fract_y
_atom_site_fract_z
Cu1 0.000 0.000 0.000
Ag1 0.000 0.000 0.658
Au1 0.000 0.000 0.344
```



(B)
Density functional theory data (SCAN) for CuAgAu at its PBEsol-relaxed geometry.

```
data_CuAgAu
_symmetry_space_group_name_H-M 'F -4 3 m'
_symmetry_Int_Tables_number 216
_symmetry_space_group_name_Hall 'F -4 2 3'
_cell_length_a 6.046
_cell_length_b 6.046
_cell_length_c 6.046
_cell_angle_alpha 90.00
_cell_angle_beta 90.00
_cell_angle_gamma 90.00
loop_
_atom_site_label
_atom_site_fract_x
_atom_site_fract_y
_atom_site_fract_z
Cu1 0.000 0.000 0.000
Ag1 0.000 0.000 0.500
Au1 0.250 0.250 0.750
```



Here is how they stack up, most stable first: (A), (B).



(A)
Density functional theory data (SCAN) for Cu2AgAu at its PBEsol-relaxed geometry.

```
data_Cu2AgAu
_symmetry_space_group_name_H-M 'C m m m'
_symmetry_Int_Tables_number 65
_symmetry_space_group_name_Hall '-C 2 2'
_cell_length_a 5.642
_cell_length_b 7.208
_cell_length_c 2.768
_cell_angle_alpha 90.00
_cell_angle_beta 90.00
_cell_angle_gamma 90.00
loop_
_atom_site_label
_atom_site_fract_x
_atom_site_fract_y
_atom_site_fract_z
Cu1 0.250 0.250 0.000
Ag1 0.000 0.000 0.500
Au1 0.000 0.500 0.500
```



(B)
Density functional theory data (SCAN) for Cu2AgAu at its PBEsol-relaxed geometry.

```
data_Cu2AgAu
_symmetry_space_group_name_H-M 'F m -3 m'
_symmetry_Int_Tables_number 225
_symmetry_space_group_name_Hall '-F 4 2 3'
_cell_length_a 6.083
_cell_length_b 6.083
_cell_length_c 6.083
_cell_angle_alpha 90.00
_cell_angle_beta 90.00
_cell_angle_gamma 90.00
loop_
_atom_site_label
_atom_site_fract_x
_atom_site_fract_y
_atom_site_fract_z
Cu1 0.250 0.250 0.250
Ag1 0.000 0.000 0.000
Au1 0.000 0.000 0.500
```



Here is how they stack up, most stable first: (B), (A).



(A)
Density functional theory data (SCAN) for Cu2AgAu at its PBEsol-relaxed geometry.

```
data_Cu2AgAu
_symmetry_space_group_name_H-M 'I -4 m 2'
_symmetry_Int_Tables_number 119
_symmetry_space_group_name_Hall 'I -4 -2'
_cell_length_a 3.791
_cell_length_b 3.791
_cell_length_c 7.878
_cell_angle_alpha 90.00
_cell_angle_beta 90.00
_cell_angle_gamma 90.00
loop_
_atom_site_label
_atom_site_fract_x
_atom_site_fract_y
_atom_site_fract_z
Cu1 0.000 0.000 0.000
Cu2 0.000 0.500 0.250
Ag1 0.000 0.000 0.500
Au1 0.000 0.500 0.750
```



(B)
Density functional theory data (SCAN) for Cu2AgAu at its PBEsol-relaxed geometry.

```
data_Cu2AgAu
_symmetry_space_group_name_H-M 'P 4/m m m'
_symmetry_Int_Tables_number 123
_symmetry_space_group_name_Hall '-P 4 2'
_cell_length_a 3.968
_cell_length_b 3.968
_cell_length_c 3.573
_cell_angle_alpha 90.00
_cell_angle_beta 90.00
_cell_angle_gamma 90.00
loop_
_atom_site_label
_atom_site_fract_x
_atom_site_fract_y
_atom_site_fract_z
Cu1 0.000 0.500 0.000
Ag1 0.000 0.000 0.500
Au1 0.500 0.500 0.500
```



(C)
Density functional theory data (SCAN) for Cu2AgAu at its PBEsol-relaxed geometry.

```
data_Cu2AgAu
_symmetry_space_group_name_H-M 'P 1 m 1'
_symmetry_Int_Tables_number 6
_symmetry_space_group_name_Hall 'P -2y'
_cell_length_a 2.730
_cell_length_b 4.175
_cell_length_c 5.124
_cell_angle_alpha 90.00
_cell_angle_beta 104.11
_cell_angle_gamma 90.00
loop_
_atom_site_label
_atom_site_fract_x
_atom_site_fract_y
_atom_site_fract_z
Cu1 0.000 0.000 0.000
Cu2 0.117 0.500 0.267
Ag1 0.717 0.000 0.470
Au1 0.399 0.500 0.797
```



(D)
Density functional theory data (SCAN) for Cu2AgAu at its PBEsol-relaxed geometry.

```
data_Cu2AgAu
_symmetry_space_group_name_H-M 'I m m 2'
_symmetry_Int_Tables_number 44
_symmetry_space_group_name_Hall 'I 2 -2'
_cell_length_a 2.918
_cell_length_b 4.365
_cell_length_c 8.823
_cell_angle_alpha 90.00
_cell_angle_beta 90.00
_cell_angle_gamma 90.00
loop_
_atom_site_label
_atom_site_fract_x
_atom_site_fract_y
_atom_site_fract_z
Cu1 0.000 0.000 0.000
Cu2 0.000 0.500 0.277
Ag1 0.000 0.000 0.524
Au1 0.000 0.500 0.750
```



Here is how they stack up, most stable first: (B), (A), (D), (C).



(A)
Density functional theory data (SCAN) for CuAgAu2 at its PBEsol-relaxed geometry.

```
data_CuAgAu2
_symmetry_space_group_name_H-M 'C 1 2/m 1'
_symmetry_Int_Tables_number 12
_symmetry_space_group_name_Hall '-C 2y'
_cell_length_a 9.306
_cell_length_b 2.830
_cell_length_c 4.883
_cell_angle_alpha 90.00
_cell_angle_beta 103.22
_cell_angle_gamma 90.00
loop_
_atom_site_label
_atom_site_fract_x
_atom_site_fract_y
_atom_site_fract_z
Cu1 0.000 0.000 0.000
Ag1 0.000 0.500 0.500
Au1 0.239 0.500 0.241
```



(B)
Density functional theory data (SCAN) for CuAgAu2 at its PBEsol-relaxed geometry.

```
data_CuAgAu2
_symmetry_space_group_name_H-M 'R -3 m'
_symmetry_Int_Tables_number 166
_symmetry_space_group_name_Hall '-R 3 2"'
_cell_length_a 2.8588
_cell_length_b 2.8588
_cell_length_c 26.5327
_cell_angle_alpha 90.00
_cell_angle_beta 90.00
_cell_angle_gamma 120.00
loop_
_atom_site_label
_atom_site_fract_x
_atom_site_fract_y
_atom_site_fract_z
Cu1 0.0000 0.0000 0.0000
Ag1 0.0000 0.0000 0.5000
Au1 0.0000 0.0000 0.2555
```



Here is how they stack up, most stable first: (B), (A).



(A)
Density functional theory data (SCAN) for CuAgAu2 at its PBEsol-relaxed geometry.

```
data_CuAgAu2
_symmetry_space_group_name_H-M 'P 4/m m m'
_symmetry_Int_Tables_number 123
_symmetry_space_group_name_Hall '-P 4 2'
_cell_length_a 3.964
_cell_length_b 3.964
_cell_length_c 3.959
_cell_angle_alpha 90.00
_cell_angle_beta 90.00
_cell_angle_gamma 90.00
loop_
_atom_site_label
_atom_site_fract_x
_atom_site_fract_y
_atom_site_fract_z
Cu1 0.000 0.000 0.000
Ag1 0.500 0.500 0.000
Au1 0.000 0.500 0.500
```



(B)
Density functional theory data (SCAN) for CuAgAu2 at its PBEsol-relaxed geometry.

```
data_CuAgAu2
_symmetry_space_group_name_H-M 'C m m m'
_symmetry_Int_Tables_number 65
_symmetry_space_group_name_Hall '-C 2 2'
_cell_length_a 5.592
_cell_length_b 7.899
_cell_length_c 2.818
_cell_angle_alpha 90.00
_cell_angle_beta 90.00
_cell_angle_gamma 90.00
loop_
_atom_site_label
_atom_site_fract_x
_atom_site_fract_y
_atom_site_fract_z
Cu1 0.000 0.000 0.000
Ag1 0.000 0.500 0.000
Au1 0.250 0.250 0.500
```



Here is how they stack up, most stable first: (A), (B).